Entry 1:
A crystal of CdRe2Mo relaxed with PBEsol, computed with meta-GGA SCAN.

Cell: 2.8002 2.8002 8.1181 Å, 90.00 90.00 90.00°
Atoms (fractional coordinates):
Cd (0.0000, 0.0000, 0.4957)
Mo (0.5000, 0.5000, 0.7700)
Re (0.0000, 0.0000, 0.0092)
Re (0.5000, 0.5000, 0.2252)

Computed properties:
Symmetry: P4mm, No. 99
Total magnetic moment: 0.00 μB/f.u.
Total DFT energy (no corrections): -1.895 Ha/atom

Entry 2:
A crystal of CdReMo relaxed with PBEsol, computed with meta-GGA SCAN.

Cell: 2.7215 2.7215 7.2808 Å, 96.82 96.82 111.36°
Atoms (fractional coordinates):
Cd (0.9999, 0.9999, 0.9997)
Mo (0.3238, 0.3238, 0.6476)
Re (0.6763, 0.6763, 0.3526)

Computed properties:
Symmetry: Fmm2, No. 42
Total magnetic moment: 0.00 μB/f.u.
Total DFT energy (no corrections): -1.658 Ha/atom